The following is a PBE-GGA calculation of Tm6AgSn2 after structural relaxation, from Alexandria via LeMat-Bulk.

a b c (Å): 6.216 8.358 11.243
angles (deg): 90.00 120.54 90.00
Space group P2_1/c (No. 14)
Symmetry-distinct sites (fractional):
Tm 0.059 0.166 0.440
Tm 0.346 0.688 0.445
Tm 0.409 0.028 0.281
Ag 0.000 0.000 0.000
Sn 0.160 0.126 0.751

Calculated values
The value obtained for the volume is 503.06 Å³ per cell. The crystal system is monoclinic. As for the total magnetization: 0.0 Bohr magnetons per cell. The value obtained for the energy of formation is -7.42 kcal/mol of atoms.